[1]
InTeMo2: relaxed, PBE-GGA.

- Relative energy among the computed polymorphs: 0.488 eV/atom

```
data_InTeMo2
_chemical_formula_sum 'In2 Te2 Mo4'
_cell_length_a 3.363
_cell_length_b 5.150
_cell_length_c 8.912
_cell_angle_alpha 90.00
_cell_angle_beta 90.00
_cell_angle_gamma 90.00
_space_group_name_H-M_alt 'I m m m'
_space_group_IT_number 71
_space_group_name_Hall '-I 2 2'
loop_
_atom_site_label
_atom_site_type_symbol
_atom_site_fract_x
_atom_site_fract_y
_atom_site_fract_z
In1 In 0.000 0.000 0.000
Te1 Te 0.000 0.000 0.500
Mo1 Mo 0.000 0.500 0.237
```

=====

[2]
InTeMo: relaxed, PBE-GGA.

- Relative energy among the computed polymorphs: 0.395 eV/atom

```
data_InTeMo
_chemical_formula_sum 'In4 Te4 Mo4'
_cell_length_a 6.660
_cell_length_b 6.660
_cell_length_c 6.660
_cell_angle_alpha 90.00
_cell_angle_beta 90.00
_cell_angle_gamma 90.00
_space_group_name_H-M_alt 'F -4 3 m'
_space_group_IT_number 216
_space_group_name_Hall 'F -4 2 3'
loop_
_atom_site_label
_atom_site_type_symbol
_atom_site_fract_x
_atom_site_fract_y
_atom_site_fract_z
In1 In 0.000 0.000 0.000
Te1 Te 0.000 0.000 0.500
Mo1 Mo 0.250 0.250 0.250
```

=====

[3]
InTeMo2: relaxed, PBE-GGA.

- Relative energy among the computed polymorphs: 0.122 eV/atom

```
data_InTeMo2
_chemical_formula_sum 'In3 Te3 Mo6'
_cell_length_a 3.3096
_cell_length_b 3.3096
_cell_length_c 26.6345
_cell_angle_alpha 90.00
_cell_angle_beta 90.00
_cell_angle_gamma 120.00
_space_group_name_H-M_alt 'R 3 m'
_space_group_IT_number 160
_space_group_name_Hall 'R 3 -2"'
loop_
_atom_site_label
_atom_site_type_symbol
_atom_site_fract_x
_atom_site_fract_y
_atom_site_fract_z
In1 In 0.0000 0.0000 0.0000
Te1 Te 0.0000 0.0000 0.2296
Mo1 Mo 0.0000 0.0000 0.4828
Mo2 Mo 0.0000 0.0000 0.7518
```

=====

[4]
In4TeMo: relaxed, PBE-GGA.

- Electronic total energy: -3.479 eV/atom

```
data_In4TeMo
_chemical_formula_sum 'In16 Te4 Mo4'
_cell_length_a 8.428
_cell_length_b 8.428
_cell_length_c 8.428
_cell_angle_alpha 90.00
_cell_angle_beta 90.00
_cell_angle_gamma 90.00
_space_group_name_H-M_alt 'F -4 3 m'
_space_group_IT_number 216
_space_group_name_Hall 'F -4 2 3'
loop_
_atom_site_label
_atom_site_type_symbol
_atom_site_fract_x
_atom_site_fract_y
_atom_site_fract_z
In1 In 0.124 0.124 0.124
Te1 Te 0.000 0.000 0.500
Mo1 Mo 0.250 0.250 0.750
```

=====

[5]
InTeMo2: relaxed, PBE-GGA.

- Relative energy among the computed polymorphs: 0.220 eV/atom

```
data_InTeMo2
_chemical_formula_sum 'In2 Te2 Mo4'
_cell_length_a 10.001
_cell_length_b 3.306
_cell_length_c 5.074
_cell_angle_alpha 90.00
_cell_angle_beta 111.81
_cell_angle_gamma 90.00
_space_group_name_H-M_alt 'C 1 m 1'
_space_group_IT_number 8
_space_group_name_Hall 'C -2y'
loop_
_atom_site_label
_atom_site_type_symbol
_atom_site_fract_x
_atom_site_fract_y
_atom_site_fract_z
In1 In 0.000 0.000 0.000
Te1 Te 0.283 0.500 0.345
Mo1 Mo 0.047 0.500 0.533
Mo2 Mo 0.243 0.000 0.853
```

=====

[6]
InTeMo2: relaxed, PBE-GGA.

- Relative energy among the computed polymorphs: 0.556 eV/atom

```
data_InTeMo2
_chemical_formula_sum 'In4 Te4 Mo8'
_cell_length_a 4.233
_cell_length_b 4.233
_cell_length_c 19.519
_cell_angle_alpha 90.00
_cell_angle_beta 90.00
_cell_angle_gamma 90.00
_space_group_name_H-M_alt 'I -4 2 d'
_space_group_IT_number 122
_space_group_name_Hall 'I -4 2bw'
loop_
_atom_site_label
_atom_site_type_symbol
_atom_site_fract_x
_atom_site_fract_y
_atom_site_fract_z
In1 In 0.000 0.000 0.000
Te1 Te 0.000 0.000 0.500
Mo1 Mo 0.178 0.250 0.625
```

=====

What did the sixth record say?
InTeMo2: relaxed, PBE-GGA.

- Relative energy among the computed polymorphs: 0.556 eV/atom

```
data_InTeMo2
_chemical_formula_sum 'In4 Te4 Mo8'
_cell_length_a 4.233
_cell_length_b 4.233
_cell_length_c 19.519
_cell_angle_alpha 90.00
_cell_angle_beta 90.00
_cell_angle_gamma 90.00
_space_group_name_H-M_alt 'I -4 2 d'
_space_group_IT_number 122
_space_group_name_Hall 'I -4 2bw'
loop_
_atom_site_label
_atom_site_type_symbol
_atom_site_fract_x
_atom_site_fract_y
_atom_site_fract_z
In1 In 0.000 0.000 0.000
Te1 Te 0.000 0.000 0.500
Mo1 Mo 0.178 0.250 0.625
```